No. 1
A relaxed structure of CuPt4Au. Source: the Alexandria database, functional PBE-GGA.

```
data_CuPt4Au
_symmetry_space_group_name_H-M 'P 4/m m m'
_symmetry_Int_Tables_number 123
_symmetry_space_group_name_Hall '-P 4 2'
_cell_length_a 2.791
_cell_length_b 2.791
_cell_length_c 11.923
_cell_angle_alpha 90.00
_cell_angle_beta 90.00
_cell_angle_gamma 90.00
loop_
_atom_site_label
_atom_site_fract_x
_atom_site_fract_y
_atom_site_fract_z
_atom_site_occupancy
Cu1 0.000 0.000 0.000 1
Pt1 0.000 0.000 0.320 1
Pt2 0.500 0.500 0.151 1
Au1 0.500 0.500 0.500 1
```

---

No. 2
A relaxed structure of CuPt2Au. Source: the Alexandria database, functional PBE-GGA.

```
data_CuPt2Au
_symmetry_space_group_name_H-M 'R 3 m'
_symmetry_Int_Tables_number 160
_symmetry_space_group_name_Hall 'R 3 -2"'
_cell_length_a 2.7898
_cell_length_b 2.7898
_cell_length_c 27.6353
_cell_angle_alpha 90.00
_cell_angle_beta 90.00
_cell_angle_gamma 120.00
loop_
_atom_site_label
_atom_site_fract_x
_atom_site_fract_y
_atom_site_fract_z
_atom_site_occupancy
Cu1 0.0000 0.0000 0.0000 1
Pt1 0.0000 0.0000 0.4096 1
Pt2 0.0000 0.0000 0.5901 1
Au1 0.0000 0.0000 0.8329 1
```

---

No. 3
A relaxed structure of Cu9Pt2Au. Source: the Alexandria database, functional PBE-GGA.

```
data_Cu9Pt2Au
_symmetry_space_group_name_H-M 'P 4/m m m'
_symmetry_Int_Tables_number 123
_symmetry_space_group_name_Hall '-P 4 2'
_cell_length_a 3.745
_cell_length_b 3.745
_cell_length_c 11.232
_cell_angle_alpha 90.00
_cell_angle_beta 90.00
_cell_angle_gamma 90.00
loop_
_atom_site_label
_atom_site_fract_x
_atom_site_fract_y
_atom_site_fract_z
_atom_site_occupancy
Cu1 0.000 0.000 0.000 1
Cu2 0.000 0.000 0.336 1
Cu3 0.000 0.500 0.171 1
Cu4 0.000 0.500 0.500 1
Pt1 0.500 0.500 0.335 1
Au1 0.500 0.500 0.000 1
```

---

No. 4
A relaxed structure of CuPtAu. Source: the Alexandria database, functional PBE-GGA.

```
data_CuPtAu
_symmetry_space_group_name_H-M 'F -4 3 m'
_symmetry_Int_Tables_number 216
_symmetry_space_group_name_Hall 'F -4 2 3'
_cell_length_a 5.907
_cell_length_b 5.907
_cell_length_c 5.907
_cell_angle_alpha 90.00
_cell_angle_beta 90.00
_cell_angle_gamma 90.00
loop_
_atom_site_label
_atom_site_fract_x
_atom_site_fract_y
_atom_site_fract_z
_atom_site_occupancy
Cu1 0.000 0.000 0.000 1
Pt1 0.250 0.250 0.250 1
Au1 0.250 0.250 0.750 1
```

---

No. 5
A relaxed structure of Cu2Pt5Au. Source: the Alexandria database, functional PBE-GGA.

```
data_Cu2Pt5Au
_symmetry_space_group_name_H-M 'P b a m'
_symmetry_Int_Tables_number 55
_cell_length_a 5.580
_cell_length_b 11.124
_cell_length_c 3.899
_cell_angle_alpha 90.00
_cell_angle_beta 90.00
_cell_angle_gamma 90.00
loop_
_symmetry_equiv_pos_as_xyz
'x,y,z'
'-x,-y,-z'
'-x,-y,z'
'x,y,-z'
'x+1/2,-y+1/2,-z'
'-x+1/2,y+1/2,z'
'-x+1/2,y+1/2,-z'
'x+1/2,-y+1/2,z'
loop_
_atom_site_label
_atom_site_fract_x
_atom_site_fract_y
_atom_site_fract_z
_atom_site_occupancy
Cu1 0.246 0.125 0.000 1
Pt1 0.000 0.500 0.500 1
Pt2 0.010 0.748 0.500 1
Pt3 0.242 0.371 0.000 1
Au1 0.000 0.000 0.500 1
```

---

No. 6
A relaxed structure of CuPt2Au. Source: the Alexandria database, functional PBE-GGA.

```
data_CuPt2Au
_symmetry_space_group_name_H-M 'R 3 m'
_symmetry_Int_Tables_number 160
_symmetry_space_group_name_Hall 'R 3 -2"'
_cell_length_a 2.8088
_cell_length_b 2.8088
_cell_length_c 27.0993
_cell_angle_alpha 90.00
_cell_angle_beta 90.00
_cell_angle_gamma 120.00
loop_
_atom_site_label
_atom_site_fract_x
_atom_site_fract_y
_atom_site_fract_z
_atom_site_occupancy
Cu1 0.0000 0.0000 0.0000 1
Pt1 0.0000 0.0000 0.4970 1
Pt2 0.0000 0.0000 0.7434 1
Au1 0.0000 0.0000 0.2529 1
```

---

No. 7
A relaxed structure of Cu2PtAu2. Source: the Alexandria database, functional PBE-GGA.

```
data_Cu2PtAu2
_symmetry_space_group_name_H-M 'P 4/m b m'
_symmetry_Int_Tables_number 127
_symmetry_space_group_name_Hall '-P 4 2ab'
_cell_length_a 7.413
_cell_length_b 7.413
_cell_length_c 2.877
_cell_angle_alpha 90.00
_cell_angle_beta 90.00
_cell_angle_gamma 90.00
loop_
_atom_site_label
_atom_site_fract_x
_atom_site_fract_y
_atom_site_fract_z
_atom_site_occupancy
Cu1 0.163 0.337 0.000 1
Pt1 0.000 0.000 0.500 1
Au1 0.136 0.636 0.500 1
```

---

No. 8
A relaxed structure of CuPt2Au. Source: the Alexandria database, functional PBE-GGA.

```
data_CuPt2Au
_symmetry_space_group_name_H-M 'F m -3 m'
_symmetry_Int_Tables_number 225
_symmetry_space_group_name_Hall '-F 4 2 3'
_cell_length_a 6.298
_cell_length_b 6.298
_cell_length_c 6.298
_cell_angle_alpha 90.00
_cell_angle_beta 90.00
_cell_angle_gamma 90.00
loop_
_atom_site_label
_atom_site_fract_x
_atom_site_fract_y
_atom_site_fract_z
_atom_site_occupancy
Cu1 0.000 0.000 0.000 1
Pt1 0.250 0.250 0.250 1
Au1 0.000 0.000 0.500 1
```

---

No. 9
A relaxed structure of CuPt2Au2. Source: the Alexandria database, functional PBE-GGA.

```
data_CuPt2Au2
_symmetry_space_group_name_H-M 'I 4/m m m'
_symmetry_Int_Tables_number 139
_symmetry_space_group_name_Hall '-I 4 2'
_cell_length_a 5.094
_cell_length_b 5.094
_cell_length_c 7.750
_cell_angle_alpha 90.00
_cell_angle_beta 90.00
_cell_angle_gamma 90.00
loop_
_atom_site_label
_atom_site_fract_x
_atom_site_fract_y
_atom_site_fract_z
_atom_site_occupancy
Cu1 0.000 0.000 0.000 1
Pt1 0.000 0.500 0.250 1
Au1 0.000 0.000 0.329 1
```

---

No. 10
A relaxed structure of Cu3PtAu5. Source: the Alexandria database, functional PBE-GGA.

```
data_Cu3PtAu5
_symmetry_space_group_name_H-M 'C 1 2/m 1'
_symmetry_Int_Tables_number 12
_cell_length_a 8.499
_cell_length_b 7.487
_cell_length_c 10.347
_cell_angle_alpha 90.00
_cell_angle_beta 98.60
_cell_angle_gamma 90.00
loop_
_symmetry_equiv_pos_as_xyz
'x,y,z'
'-x,-y,-z'
'-x,y,-z'
'x,-y,z'
'x+1/2,y+1/2,z'
'-x+1/2,-y+1/2,-z'
'-x+1/2,y+1/2,-z'
'x+1/2,-y+1/2,z'
loop_
_atom_site_label
_atom_site_fract_x
_atom_site_fract_y
_atom_site_fract_z
_atom_site_occupancy
Cu1 0.000 0.000 0.000 1
Cu2 0.000 0.000 0.500 1
Cu3 0.229 0.500 0.036 1
Cu4 0.244 0.000 0.376 1
Pt1 0.038 0.000 0.763 1
Au1 0.000 0.320 0.500 1
Au2 0.021 0.500 0.834 1
Au3 0.208 0.214 0.170 1
Au4 0.220 0.500 0.372 1
```

---

No. 11
A relaxed structure of Cu6PtAu12. Source: the Alexandria database, functional PBE-GGA.

```
data_Cu6PtAu12
_symmetry_space_group_name_H-M 'R -3'
_symmetry_Int_Tables_number 148
_symmetry_space_group_name_Hall '-R 3'
_cell_length_a 11.9742
_cell_length_b 11.9742
_cell_length_c 7.8131
_cell_angle_alpha 90.00
_cell_angle_beta 90.00
_cell_angle_gamma 120.00
loop_
_atom_site_label
_atom_site_fract_x
_atom_site_fract_y
_atom_site_fract_z
_atom_site_occupancy
Cu1 0.0289 0.8815 0.2419 1
Pt1 0.0000 0.0000 0.5000 1
Au1 0.0146 0.2426 0.4472 1
Au2 0.0664 0.8193 0.9356 1
```

---

No. 12
A relaxed structure of Cu2PtAu2. Source: the Alexandria database, functional PBE-GGA.

```
data_Cu2PtAu2
_symmetry_space_group_name_H-M 'P 4/m b m'
_symmetry_Int_Tables_number 127
_symmetry_space_group_name_Hall '-P 4 2ab'
_cell_length_a 7.061
_cell_length_b 7.061
_cell_length_c 3.105
_cell_angle_alpha 90.00
_cell_angle_beta 90.00
_cell_angle_gamma 90.00
loop_
_atom_site_label
_atom_site_fract_x
_atom_site_fract_y
_atom_site_fract_z
_atom_site_occupancy
Cu1 0.126 0.374 0.000 1
Pt1 0.000 0.000 0.000 1
Au1 0.171 0.671 0.500 1
```

---

no.,formation energy from the elements (meV/atom),DFT total energy (eV/atom)
1,-33,-5.289
2,-59,-4.923
3,-122,-4.474
4,176,-4.296
5,-77,-5.287
6,-53,-4.916
7,116,-4.042
8,68,-4.796
9,642,-3.905
10,189,-3.669
11,52,-3.629
12,78,-4.079